A plane-wave DFT calculation with PBE-GGA was carried out for a relaxed PmNd5Tm3 crystal.

Output
offset from the most stable computed form: 33 meV/atom
total energy: -4.36 eV/atom
space-group type: No. 140
ΔE_f: 2.7 eV per formula unit

Cell and atoms, written as POSCAR:
```
PmNd5Tm3
1.0
-4.165 5.658 5.973
5.881 -2.633 6.596
3.677 3.840 -8.191
Tm Nd Pm
6 10 2
Cartesian
2.267 2.676 -0.954
-0.111 3.422 9.340
3.608 -0.140 8.189
1.827 -0.398 3.229
3.126 4.188 5.331
-1.892 3.164 4.379
-0.370 5.149 6.253
4.268 4.280 1.770
2.987 3.267 8.954
0.000 0.000 0.000
1.125 2.584 2.607
2.406 3.597 -4.577
4.482 0.702 5.308
0.858 1.512 6.284
0.912 6.162 -0.931
5.763 1.715 -1.876
5.208 1.359 2.344
0.185 5.505 2.033
```

---

A plane-wave DFT calculation with PBE-GGA was carried out for a relaxed TaCdCo crystal.

Output
offset from the most stable computed form: 0 meV/atom
total energy: -6.51 eV/atom
space-group type: No. 107
ΔE_f: 0.3 eV per formula unit

Cell and atoms, written as POSCAR:
```
TaCdCo
1.0
-5.829 1.458 -0.840
-5.845 -0.141 1.621
-0.356 2.444 1.585
Ta Cd Co
1 1 1
Cartesian
-8.199 1.663 1.028
-11.528 1.331 0.791
-3.976 2.083 1.328
```

---

A plane-wave DFT calculation with PBE-GGA was carried out for a relaxed LiBiO2 crystal.

Output
total energy: -4.95 eV/atom
space-group type: No. 123
raw formation energy: -1.020 eV per atom

Cell and atoms, written as POSCAR:
```
LiBiO2
1.0
-2.409 1.548 -0.867
-1.707 -3.430 -1.380
-1.709 -0.616 3.645
Li O Bi
1 2 1
Cartesian
-1.204 0.774 -0.434
-0.854 -1.715 -0.690
-0.854 -0.308 1.823
-2.912 -1.250 0.699
```

---

A plane-wave DFT calculation with PBE-GGA was carried out for a relaxed Ac5Sn2Se12 crystal.

Output
total energy: -5.09 eV/atom
space-group type: No. 12
raw formation energy: -1.389 eV per atom

Cell and atoms, written as POSCAR:
```
Ac5Sn2Se12
1.0
-6.571 2.733 3.308
6.698 -2.528 6.084
2.334 9.086 -2.871
Sn Se Ac
2 12 5
Cartesian
-4.905 2.040 2.469
-1.666 0.693 0.839
0.451 1.702 -0.511
-2.792 3.190 1.127
2.854 8.230 3.321
5.996 6.924 1.739
0.695 5.509 1.504
5.037 2.423 3.369
-2.576 6.869 3.151
2.010 7.590 7.031
5.253 6.102 5.394
-0.393 1.062 3.200
-3.535 2.368 4.781
1.766 3.783 5.016
-0.049 8.485 2.202
3.539 5.153 2.772
2.510 0.807 4.319
1.167 4.543 -1.436
-1.078 4.139 3.748
```

---

A plane-wave DFT calculation with PBE-GGA was carried out for a relaxed Ac2ScInPd6 crystal.

Output
total energy: -5.17 eV/atom
space-group type: No. 225
ΔE_f: -3.3 eV per formula unit

Cell and atoms, written as POSCAR:
```
Ac2ScInPd6
1.0
7.050 0.000 0.000
0.000 7.050 0.000
3.525 3.525 4.985
Ac Pd In Sc
2 6 1 1
Cartesian
7.050 3.525 2.493
3.525 7.050 2.493
3.525 3.525 2.429
5.243 1.807 0.000
7.050 7.050 2.556
8.768 8.767 4.985
1.808 5.243 0.000
1.808 1.807 0.000
0.000 0.000 0.000
3.525 3.525 0.000
```

---

A plane-wave DFT calculation with PBE-GGA was carried out for a relaxed LiLa2As crystal.

Output
total energy: -4.60 eV/atom
space-group type: No. 99
ΔE_f: -2.0 eV per formula unit

Cell and atoms, written as POSCAR:
```
LiLa2As
1.0
4.214 0.000 0.000
0.000 4.214 0.000
0.000 0.000 6.368
La As Li
2 1 1
Cartesian
2.107 2.107 1.801
0.000 0.000 5.996
2.107 2.107 4.969
0.000 0.000 3.155
```

---

A plane-wave DFT calculation with PBE-GGA was carried out for a relaxed YBeSN2 crystal.

Output
offset from the most stable computed form: 0 meV/atom
total energy: -6.19 eV/atom
space-group type: No. 123
raw formation energy: 0.000 eV per atom

Cell and atoms, written as POSCAR:
```
YBeSN2
1.0
-3.131 1.883 0.538
-1.533 -1.723 -2.885
-1.533 -3.355 2.819
Be N Y S
1 2 1 1
Cartesian
0.000 0.000 0.000
-0.766 -0.862 -1.443
-1.566 0.942 0.269
-3.099 -1.598 0.236
-0.767 -1.678 1.409
```

---

A plane-wave DFT calculation with PBE-GGA was carried out for a relaxed Cs2HfB2S6 crystal.

Output
total energy: -5.46 eV/atom
space-group type: No. 12
raw formation energy: -0.930 eV per atom

Cell and atoms, written as POSCAR:
```
Cs2HfB2S6
1.0
-6.527 -0.969 -0.166
3.827 -2.476 -4.805
0.526 -4.738 6.955
Cs S B Hf
2 6 2 1
Cartesian
0.778 -5.766 3.048
-2.952 -2.417 -1.065
-2.648 -5.002 2.078
0.474 -3.181 -0.094
-4.611 -4.168 4.894
2.437 -4.015 -2.910
-1.155 -3.655 4.982
-1.018 -4.528 -2.998
0.272 -2.061 1.322
-2.446 -6.122 0.662
-3.000 -2.853 3.394
```

---

A plane-wave DFT calculation with PBE-GGA was carried out for a relaxed La3Ag9Pd2 crystal.

Output
total energy: -3.92 eV/atom
space-group type: No. 71
ΔE_f: -4.1 eV per formula unit

Cell and atoms, written as POSCAR:
```
La3Ag9Pd2
1.0
-1.992 -1.037 4.175
6.414 -0.540 5.617
0.193 7.212 4.575
Pd Ag La
2 9 3
Cartesian
1.252 4.133 7.007
3.364 1.501 7.360
5.056 3.794 11.429
3.319 5.959 11.138
0.961 4.985 9.771
3.763 1.494 10.240
0.853 4.141 4.127
3.655 0.649 4.596
1.297 -0.325 3.229
3.304 3.336 5.096
-0.441 1.840 2.938
0.000 0.000 0.000
3.943 4.283 8.328
0.673 1.351 6.039
```

---

A plane-wave DFT calculation with PBE-GGA was carried out for a relaxed La2Pr3Er6Sc crystal.

Output
total energy: -4.80 eV/atom
space-group type: No. 12
ΔE_f: 0.3 eV per formula unit

Cell and atoms, written as POSCAR:
```
La2Pr3Er6Sc
1.0
-2.669 5.382 1.542
-3.462 -4.672 -2.155
0.510 -4.102 11.044
La Pr Er Sc
2 3 6 1
Cartesian
-3.197 -1.316 -0.921
-2.934 2.025 0.308
-2.811 -1.696 5.215
-2.546 1.654 6.448
-3.075 -5.047 3.983
-4.488 -0.485 2.282
-1.260 0.816 3.197
-4.099 -0.892 8.453
-1.522 -2.500 1.978
-1.133 -2.907 8.148
-4.361 -4.209 7.233
0.000 0.000 0.000
```

---

A plane-wave DFT calculation with PBE-GGA was carried out for a relaxed BaSn12Au4 crystal.

Output
total energy: -3.94 eV/atom
space-group type: No. 204
ΔE_f: -3.9 eV per formula unit

Cell and atoms, written as POSCAR:
```
BaSn12Au4
1.0
8.450 0.000 0.000
-2.817 7.967 0.000
-2.817 -3.983 6.899
Au Sn Ba
4 12 1
Cartesian
1.408 1.992 3.450
-1.408 -1.992 3.450
-1.408 3.983 0.000
4.225 0.000 0.000
-1.715 5.333 2.420
-2.784 1.968 5.551
1.101 3.412 1.071
-1.101 0.779 3.490
0.033 -1.808 5.829
3.918 3.205 3.409
4.532 -1.350 4.480
-0.033 4.144 4.480
2.783 5.791 1.071
5.600 2.015 1.349
1.715 0.571 5.829
2.850 -0.160 2.420
0.000 0.000 0.000
```

---

A plane-wave DFT calculation with PBE-GGA was carried out for a relaxed CePbI crystal.

Output
total energy: -4.36 eV/atom
space-group type: No. 164
raw formation energy: -0.631 eV per atom

Cell and atoms, written as POSCAR:
```
CePbI
1.0
-4.158 0.917 2.537
1.300 -4.672 -1.022
5.885 -0.513 9.829
Ce Pb I
2 2 2
Cartesian
4.785 -0.417 7.991
1.101 -0.096 1.838
5.164 -3.304 9.656
-2.136 -0.964 1.689
1.526 -1.283 7.805
1.501 -2.985 3.539
```